Pu8HRh5: relaxed, PBE.

a b c (Å): 7.2865 7.2865 7.2865
angles (deg): 110.84 110.84 106.76
Last column: nearest neighbours and their distance in Å.
Fractional coordinates of all 14 atoms:
1 Pu 0.1039 0.3563 0.6213  4 Rh 2.75-2.98
2 Pu 0.1505 0.4284 0.1475  1 H 2.45, 1 Rh 2.72
3 Pu 0.2810 0.0030 0.8525  1 H 2.45, 1 Rh 2.72
4 Pu 0.5174 0.8961 0.2524  4 Rh 2.75-2.98
5 Pu 0.5716 0.7190 0.7220  1 H 2.45, 1 Rh 2.72
6 Pu 0.6437 0.2650 0.7476  4 Rh 2.75-2.98
7 Pu 0.7350 0.4826 0.3787  4 Rh 2.75-2.98
8 Pu 0.9970 0.8495 0.2779  1 H 2.45, 1 Rh 2.72
9 H 0.2500 0.7500 0.5000  4 Pu 2.45
10 Rh 0.0022 0.6774 0.8829  5 Pu 2.72-2.98
11 Rh 0.3226 0.2054 0.3247  5 Pu 2.72-2.98
12 Rh 0.5000 0.5000 0.0000  8 Pu 2.75-3.08
13 Rh 0.7946 0.1193 0.1171  5 Pu 2.72-2.98
14 Rh 0.8807 0.9978 0.6753  5 Pu 2.72-2.98

* magnetic moment: 3.089 μB/atom
* DFT total energy: -11.368 eV per atom
* Fermi-level density of states: 55.3 states/eV/f.u.